*1*
Tb6CeSc2 | GGA-PBE | optimized geometry

a = 12.039 Å, b = 14.375 Å, c = 6.441 Å
α = 90.00°, β = 101.13°, γ = 90.00°
Space group C2/c (No. 15)
Unique sites:
Tb  0.045  0.190  0.018
Tb  0.153  0.402  0.804
Tb  0.241  0.179  0.696
Ce  0.000  0.405  0.250
Sc  0.125  0.014  0.369

Computed properties:
- crystal system = monoclinic

=====

*2*
Tb6CeSc2 | GGA-PBE | optimized geometry

a = 17.649 Å, b = 12.064 Å, c = 5.341 Å
α = 90.00°, β = 90.03°, γ = 90.00°
Space group C2/c (No. 15)
Unique sites:
Tb  0.096  0.079  0.250
Tb  0.099  0.371  0.249
Tb  0.200  0.174  0.751
Ce  0.000  0.220  0.750
Sc  0.213  0.434  0.749

Computed properties:
- crystal system = monoclinic

=====

Stability verdict: *1*, ahead by 59 meV/atom

=====

*1*
Ce2ScTc | GGA-PBE | optimized geometry

a = 3.419 Å, b = 3.419 Å, c = 8.188 Å
α = 90.00°, β = 90.00°, γ = 90.00°
Space group P4/mmm (No. 123)
Unique sites:
Ce  0.000  0.000  0.212
Sc  0.500  0.500  0.500
Tc  0.500  0.500  0.000

Computed properties:
- crystal system = tetragonal

=====

*2*
Ce2ScTc | GGA-PBE | optimized geometry

a = 4.083 Å, b = 4.083 Å, c = 5.164 Å
α = 90.00°, β = 90.00°, γ = 90.00°
Space group P4/mmm (No. 123)
Unique sites:
Ce  0.000  0.500  0.000
Sc  0.000  0.000  0.500
Tc  0.500  0.500  0.500

Computed properties:
- crystal system = tetragonal

=====

Stability verdict: *1*, ahead by 84 meV/atom

=====

*1*
Ce2ScTc | GGA-PBE | optimized geometry

a = 3.1727 Å, b = 3.1727 Å, c = 31.5215 Å
α = 90.00°, β = 90.00°, γ = 120.00°
Space group R-3m (No. 166, hexagonal axes)
Unique sites:
Ce  0.0000  0.0000  0.0958
Sc  0.0000  0.0000  0.0000
Tc  0.0000  0.0000  0.5000

Computed properties:
- crystal system = trigonal

=====

*2*
Ce2ScTc | GGA-PBE | optimized geometry

a = 7.163 Å, b = 7.163 Å, c = 7.163 Å
α = 90.00°, β = 90.00°, γ = 90.00°
Space group Fm-3m (No. 225)
Unique sites:
Ce  0.250  0.250  0.250
Sc  0.000  0.000  0.000
Tc  0.000  0.000  0.500

Computed properties:
- crystal system = cubic

=====

Stability verdict: *2*, ahead by 83 meV/atom